Material: BaPr2ErO5
Method: DFT, PBE
State: relaxed

Structure (POSCAR):
```
BaPr2ErO5
1.0
-1.252 3.273 -2.355
-0.710 -3.731 -4.809
-4.740 -0.785 5.213
Ba Pr Er O
1 2 1 5
Direct
0.000 0.500 0.000
0.217 0.217 0.433
0.783 0.783 0.567
0.500 0.000 0.000
0.644 0.906 0.287
0.356 0.094 0.713
0.356 0.619 0.713
0.644 0.381 0.287
0.000 0.000 0.000
```

Results
Uncorrected formation energy = -27.1 eV per formula unit
Density of states at the Fermi level = 2.3 states/eV per cell
Total energy = -7.553 eV/atom
Crystal system = orthorhombic